Density functional theory data (GGA-PBE) for an optimized crystal structure of Tb2AgCl.

Values from the calculation:
Its polymorph energy (0 for the lowest one) is 0.312 eV per atom. The value obtained for the formation energy (no corrections) is -0.35 eV per atom.

a = 10.597 Å, b = 10.597 Å, c = 10.597 Å
α = 18.31°, β = 18.31°, γ = 18.31°
Positions (direct):
Tb: 0.094 0.094 0.094
Tb: 0.906 0.906 0.906
Ag: 0.000 0.000 0.000
Cl: 0.500 0.500 0.500